[1]
Er5Tl2Ru2, optimized geometry, DFT PBE-GGA; space-group type = Cmce; energy = -99.10 eV/cell
1.0
-2.0735 -4.2307 5.7769
6.9778 -2.6849 0.5383
0.9042 3.9610 8.0352
Er Tl Ru
10 4 4
Direct
0.0000 0.0000 0.0000
0.5000 0.5000 0.0000
0.4438 0.1686 0.7707
0.7856 0.8314 0.7707
0.2856 0.6686 0.7707
0.9438 0.3314 0.7707
0.5562 0.8314 0.2293
0.2144 0.1686 0.2293
0.7144 0.3314 0.2293
0.0562 0.6686 0.2293
0.2213 0.0000 0.5574
0.7213 0.5000 0.5574
0.7787 0.0000 0.4426
0.2787 0.5000 0.4426
0.1296 0.3675 0.0000
0.8704 0.6325 0.0000
0.3704 0.8675 0.0000
0.6296 0.1325 0.0000

=====

[2]
Er2TlRu, optimized geometry, DFT PBE-GGA; relative energy among the computed polymorphs = 33 meV/atom; space-group type = R-3m; energy = -21.73 eV/cell
1.0
3.5617 0.0000 0.0000
1.7808 3.0845 0.0000
1.7808 1.0282 9.0006
Ru Tl Er
1 1 2
Direct
0.0000 0.0000 0.0000
0.5000 0.5000 0.5000
0.7357 0.7357 0.7929
0.2643 0.2643 0.2071

=====

no.,formation energy from the elements (eV per formula unit)
1,-3.45
2,-0.96